# 1
VASP calculation (GGA-PBE) on a relaxed structure of TmAgPb2S4.

```
data_TmAgPb2S4
_chemical_formula_sum 'Tm1 Ag1 Pb2 S4'
_cell_length_a 6.987
_cell_length_b 4.049
_cell_length_c 7.154
_cell_angle_alpha 90.00
_cell_angle_beta 109.26
_cell_angle_gamma 90.00
_space_group_name_H-M_alt 'P 1 2/m 1'
_space_group_IT_number 10
_space_group_name_Hall '-P 2y'
loop_
_atom_site_label
_atom_site_type_symbol
_atom_site_fract_x
_atom_site_fract_y
_atom_site_fract_z
Tm1 Tm 0.000 0.000 0.000
Ag1 Ag 0.500 0.500 0.000
Pb1 Pb 0.000 0.500 0.500
Pb2 Pb 0.500 0.000 0.500
S1 S 0.231 0.500 0.225
S2 S 0.251 0.000 0.776
```



# 2
VASP calculation (GGA-PBE) on a relaxed structure of UAgPb2S5.

```
data_UAgPb2S5
_chemical_formula_sum 'U4 Ag4 Pb8 S20'
_cell_length_a 4.048
_cell_length_b 17.480
_cell_length_c 13.109
_cell_angle_alpha 90.00
_cell_angle_beta 90.00
_cell_angle_gamma 90.00
_space_group_name_H-M_alt 'C m c 21'
_space_group_IT_number 36
_space_group_name_Hall 'C 2c -2'
loop_
_atom_site_label
_atom_site_type_symbol
_atom_site_fract_x
_atom_site_fract_y
_atom_site_fract_z
U1 U 0.000 0.221 0.000
Ag1 Ag 0.000 0.427 0.417
Pb1 Pb 0.000 0.092 0.618
Pb2 Pb 0.000 0.105 0.263
S1 S 0.000 0.075 0.038
S2 S 0.000 0.263 0.632
S3 S 0.000 0.284 0.371
S4 S 0.000 0.369 0.972
S5 S 0.000 0.496 0.251
```



# 3
VASP calculation (GGA-PBE) on a relaxed structure of UAg2PbS6.

```
data_UAg2PbS6
_chemical_formula_sum 'U1 Ag2 Pb1 S6'
_cell_length_a 6.472
_cell_length_b 6.500
_cell_length_c 7.216
_cell_angle_alpha 64.47
_cell_angle_beta 68.57
_cell_angle_gamma 64.03
_space_group_name_H-M_alt 'P 1'
_space_group_IT_number 1
_space_group_name_Hall 'P 1'
loop_
_atom_site_label
_atom_site_type_symbol
_atom_site_fract_x
_atom_site_fract_y
_atom_site_fract_z
U1 U 0.000 0.000 0.000
Ag1 Ag 0.183 0.179 0.454
Ag2 Ag 0.692 0.651 0.983
Pb1 Pb 0.492 0.479 0.539
S1 S 0.060 0.393 0.721
S2 S 0.234 0.928 0.247
S3 S 0.389 0.784 0.774
S4 S 0.616 0.259 0.197
S5 S 0.799 0.017 0.743
S6 S 0.911 0.606 0.233
```



# 4
VASP calculation (GGA-PBE) on a relaxed structure of UAg2Pb2S6.

```
data_UAg2Pb2S6
_chemical_formula_sum 'U2 Ag4 Pb4 S12'
_cell_length_a 7.408
_cell_length_b 12.560
_cell_length_c 6.426
_cell_angle_alpha 90.00
_cell_angle_beta 100.87
_cell_angle_gamma 90.00
_space_group_name_H-M_alt 'C 1 2/m 1'
_space_group_IT_number 12
_space_group_name_Hall '-C 2y'
loop_
_atom_site_label
_atom_site_type_symbol
_atom_site_fract_x
_atom_site_fract_y
_atom_site_fract_z
U1 U 0.000 0.000 0.000
Ag1 Ag 0.000 0.117 0.500
Pb1 Pb 0.000 0.329 0.000
S1 S 0.188 0.151 0.224
S2 S 0.250 0.000 0.774
```



# 5
VASP calculation (GGA-PBE) on a relaxed structure of ZrAg2PbS.

```
data_ZrAg2PbS
_chemical_formula_sum 'Zr1 Ag2 Pb1 S1'
_cell_length_a 5.432
_cell_length_b 5.432
_cell_length_c 4.801
_cell_angle_alpha 90.00
_cell_angle_beta 90.00
_cell_angle_gamma 90.00
_space_group_name_H-M_alt 'P 4/m m m'
_space_group_IT_number 123
_space_group_name_Hall '-P 4 2'
loop_
_atom_site_label
_atom_site_type_symbol
_atom_site_fract_x
_atom_site_fract_y
_atom_site_fract_z
Zr1 Zr 0.000 0.000 0.000
Ag1 Ag 0.000 0.500 0.000
Pb1 Pb 0.500 0.500 0.500
S1 S 0.000 0.000 0.500
```



# 6
# AgSb2Pb2, relaxed, DFT GGA-PBE
data_AgSb2Pb2
_chemical_formula_sum 'Ag2 Sb4 Pb4'
_cell_length_a 7.968
_cell_length_b 7.968
_cell_length_c 4.829
_cell_angle_alpha 90.00
_cell_angle_beta 90.00
_cell_angle_gamma 90.00
_space_group_name_H-M_alt 'P 4/m b m'
_space_group_IT_number 127
_space_group_name_Hall '-P 4 2ab'
loop_
_atom_site_label
_atom_site_type_symbol
_atom_site_fract_x
_atom_site_fract_y
_atom_site_fract_z
Ag1 Ag 0.000 0.000 0.000
Sb1 Sb 0.129 0.371 0.500
Pb1 Pb 0.171 0.671 0.000
# - Energy above the most stable polymorph in this dataset: 184 meV/atom



# 7
VASP calculation (GGA-PBE) on a relaxed structure of AgSbPb2.

```
data_AgSbPb2
_chemical_formula_sum 'Ag1 Sb1 Pb2'
_cell_length_a 3.379
_cell_length_b 4.027
_cell_length_c 8.020
_cell_angle_alpha 90.00
_cell_angle_beta 90.00
_cell_angle_gamma 90.00
_space_group_name_H-M_alt 'P m m m'
_space_group_IT_number 47
_space_group_name_Hall '-P 2 2'
loop_
_atom_site_label
_atom_site_type_symbol
_atom_site_fract_x
_atom_site_fract_y
_atom_site_fract_z
Ag1 Ag 0.000 0.000 0.000
Sb1 Sb 0.000 0.000 0.500
Pb1 Pb 0.500 0.500 0.227
```



# 8
# Ag3SbPb, relaxed, DFT GGA-PBE
data_Ag3SbPb
_chemical_formula_sum 'Ag6 Sb2 Pb2'
_cell_length_a 4.921
_cell_length_b 7.607
_cell_length_c 7.887
_cell_angle_alpha 90.00
_cell_angle_beta 128.48
_cell_angle_gamma 90.00
_space_group_name_H-M_alt 'P 1 2/c 1'
_space_group_IT_number 13
_space_group_name_Hall '-P 2yc'
loop_
_atom_site_label
_atom_site_type_symbol
_atom_site_fract_x
_atom_site_fract_y
_atom_site_fract_z
Ag1 Ag 0.000 0.065 0.250
Ag2 Ag 0.276 0.255 0.026
Sb1 Sb 0.000 0.434 0.250
Pb1 Pb 0.500 0.164 0.750
# - Energy above the most stable polymorph in this dataset: 0 meV/atom



| no. | E_form (uncorrected) (eV/atom) |
| --- | --- |
| 1 | -0.86 |
| 2 | -0.74 |
| 3 | -0.46 |
| 4 | -0.64 |
| 5 | 0.28 |
| 6 | 0.23 |
| 7 | 0.10 |
| 8 | 0.12 |